A plane-wave DFT calculation with PBE was carried out for crystalline LiAlPd5 at its relaxed geometry.

Values from the calculation:
Its energy above the most stable polymorph in this dataset is 24 meV/atom. As for the formation energy: -0.37 eV/atom. The calculation puts the electronic total energy at -4.89 eV/atom. The space-group type is C2/c.

Unit cell a=5.308 b=5.308 c=9.237 alpha=105.38 beta=105.38 gamma=64.74
Atoms (fractional coordinates):
Li (0.000, 0.500, 0.000)
Li (0.500, 0.000, 0.500)
Al (0.106, 0.894, 0.750)
Al (0.894, 0.106, 0.250)
Pd (0.166, 0.354, 0.741)
Pd (0.231, 0.571, 0.514)
Pd (0.325, 0.675, 0.250)
Pd (0.354, 0.166, 0.241)
Pd (0.429, 0.769, 0.986)
Pd (0.571, 0.231, 0.014)
Pd (0.646, 0.834, 0.759)
Pd (0.675, 0.325, 0.750)
Pd (0.769, 0.429, 0.486)
Pd (0.834, 0.646, 0.259)